Li5AlCo4O10: optimized geometry, PBE with a Hubbard U.

Cell lengths 2.838, 2.838, 23.755 Å; angles 86.58, 86.58, 60.00 degrees
Fractional coordinates of all 20 atoms:
Co 0.900 0.900 0.299
Li 0.600 0.600 0.200
Li 0.200 0.200 0.399
O 0.448 0.448 0.657
O 0.952 0.952 0.143
Co 0.100 0.100 0.701
O 0.752 0.752 0.744
O 0.352 0.352 0.944
Li 0.800 0.800 0.601
O 0.848 0.848 0.457
O 0.552 0.552 0.343
Co 0.700 0.700 0.900
Li 0.000 0.000 0.000
Li 0.400 0.400 0.800
O 0.152 0.152 0.543
O 0.048 0.048 0.857
O 0.648 0.648 0.056
Al 0.500 0.500 0.500
Co 0.300 0.300 0.100
O 0.248 0.248 0.256

Properties
Electronic total energy ... -5.870 eV per atom
Crystal system ... trigonal